La7Pm2Er | PBE-GGA | optimized geometry

```
10
Lattice="4.643 -7.571 0.000 4.643 7.571 0.000 0.000 0.000 5.829" Properties=species:S:1:pos:R:3 pbc="T T T"
La 0.000 0.000 0.000
La 4.643 5.038 2.915
La 2.875 1.653 0.000
La 2.875 -1.653 0.000
La 6.411 1.653 0.000
La 6.411 -1.653 0.000
La 4.643 -5.038 2.915
Pm 4.643 4.237 0.000
Pm 4.643 -4.237 0.000
Er 4.643 0.000 2.915
```

## Properties
**E**: -4.2980 eV per atom
**Energy relative to the lowest polymorph listed for this composition**: 0 meV per atom
**Formation enthalpy at 0 K**: 557.6 meV/atom
**Fermi-level density of states**: 15.6 states/eV per cell